[1]
# NpNbAu (PBE-GGA, optimized geometry)
# energy relative to the elements = 197 kJ/mol of formula units
# spin magnetization = 14.38 Bohr magnetons per cell
# final energy = -96.3 eV for the cell shown
data_NpNbAu
_cell_length_a 6.525
_cell_length_b 6.525
_cell_length_c 6.525
_cell_angle_alpha 90.00
_cell_angle_beta 90.00
_cell_angle_gamma 90.00
_symmetry_space_group_name_H-M 'F -4 3 m'
_symmetry_Int_Tables_number 216
_symmetry_space_group_name_Hall 'F -4 2 3'
loop_
_atom_site_label
_atom_site_type_symbol
_atom_site_fract_x
_atom_site_fract_y
_atom_site_fract_z
Np1 Np 0.000 0.000 0.000
Nb1 Nb 0.250 0.250 0.750
Au1 Au 0.000 0.000 0.500



[2]
# LaNdCI (PBE-GGA, optimized geometry)
# spin magnetization = 0.03 Bohr magnetons per cell
# final energy = -46.6 eV for the cell shown
data_LaNdCI
_cell_length_a 3.9195
_cell_length_b 3.9195
_cell_length_c 15.7953
_cell_angle_alpha 90.00
_cell_angle_beta 90.00
_cell_angle_gamma 120.00
_symmetry_space_group_name_H-M 'P -6 m 2'
_symmetry_Int_Tables_number 187
_symmetry_space_group_name_Hall 'P -6 2'
loop_
_atom_site_label
_atom_site_type_symbol
_atom_site_fract_x
_atom_site_fract_y
_atom_site_fract_z
La1 La 0.0000 0.0000 0.1649
Nd1 Nd 0.3333 0.6667 0.3397
C1 C 0.6667 0.3333 0.2549
I1 I 0.0000 0.0000 0.5000
I2 I 0.3333 0.6667 0.0000



[3]
# GdDyAg4 (PBE-GGA, optimized geometry)
# energy relative to the elements = -186 kJ/mol of formula units
# spin magnetization = 0.00 Bohr magnetons per cell
# final energy = -22.5 eV for the cell shown
data_GdDyAg4
_cell_length_a 3.728
_cell_length_b 3.728
_cell_length_c 9.278
_cell_angle_alpha 90.00
_cell_angle_beta 90.00
_cell_angle_gamma 90.00
_symmetry_space_group_name_H-M 'P 4/m m m'
_symmetry_Int_Tables_number 123
_symmetry_space_group_name_Hall '-P 4 2'
loop_
_atom_site_label
_atom_site_type_symbol
_atom_site_fract_x
_atom_site_fract_y
_atom_site_fract_z
Gd1 Gd 0.000 0.000 0.000
Dy1 Dy 0.500 0.500 0.500
Ag1 Ag 0.000 0.000 0.331
Ag2 Ag 0.500 0.500 0.170



[4]
# Y3PuS4 (PBE-GGA, optimized geometry)
# spin magnetization = 5.70 Bohr magnetons per cell
# final energy = -65.9 eV for the cell shown
data_Y3PuS4
_cell_length_a 5.541
_cell_length_b 5.541
_cell_length_c 5.541
_cell_angle_alpha 90.00
_cell_angle_beta 90.00
_cell_angle_gamma 90.00
_symmetry_space_group_name_H-M 'P m -3 m'
_symmetry_Int_Tables_number 221
_symmetry_space_group_name_Hall '-P 4 2 3'
loop_
_atom_site_label
_atom_site_type_symbol
_atom_site_fract_x
_atom_site_fract_y
_atom_site_fract_z
Y1 Y 0.000 0.000 0.500
Pu1 Pu 0.500 0.500 0.500
S1 S 0.000 0.000 0.000
S2 S 0.000 0.500 0.500